No. 1
8
Lattice="6.842 0.357 0.547 -2.592 6.342 -0.547 -2.592 -3.053 5.585" Properties=species:S:1:pos:R:3 comment="K2TaSnS4 (PBE, relaxed)" final_energy_ev_per_atom=-5.227 magnetic_moment_mub_per_cell=1.013 raw_formation_energy_ev_per_atom=-0.907 pbc="T T T"
K 0.829 4.172 1.260
K 0.000 0.000 0.000
Ta -2.592 1.644 2.519
Sn 0.829 -0.526 4.326
S 1.974 1.729 2.943
S -1.625 -0.416 2.819
S 4.973 2.990 1.125
S -2.006 2.989 4.285

No. 2
12
Lattice="-0.804 -2.084 -3.315 6.351 -4.540 3.724 -7.636 -6.045 5.653" Properties=species:S:1:pos:R:3 comment="KTbSnS3 (PBE, relaxed)" final_energy_ev_per_atom=-4.952 magnetic_moment_mub_per_cell=0.000 raw_formation_energy_ev_per_atom=-1.267 pbc="T T T"
K -4.062 -7.515 3.300
K 1.973 -5.154 2.762
Tb -3.818 -3.023 2.827
Tb 0.000 0.000 0.000
Sn -1.214 -8.768 5.808
Sn -0.875 -3.901 0.255
S -2.885 -5.279 1.609
S 0.796 -7.390 4.453
S -2.978 -10.378 7.248
S 0.889 -2.291 -1.185
S -0.367 -10.982 4.584
S -1.722 -1.687 1.478

No. 3
11
Lattice="6.840 -0.004 0.064 -3.384 5.944 0.064 -1.228 -2.111 7.546" Properties=species:S:1:pos:R:3 comment="K2Tb2SnS6 (PBE, relaxed)" final_energy_ev_per_atom=-5.108 magnetic_moment_mub_per_cell=0.000 raw_formation_energy_ev_per_atom=-1.451 pbc="T T T"
K 5.110 1.003 0.064
K -1.654 4.938 0.064
Tb -0.600 2.912 3.837
Tb 2.828 0.918 3.837
Sn -0.614 -1.055 3.773
S 1.754 3.015 5.324
S -1.707 0.820 5.281
S 0.474 0.814 2.351
S 1.556 -1.079 5.281
S 3.935 3.010 2.394
S 0.672 4.908 2.394

No. 4
8
Lattice="-0.938 -0.466 3.898 6.241 -4.447 0.970 5.366 4.252 1.800" Properties=species:S:1:pos:R:3 comment="K2TbSnS4 (PBE, relaxed)" final_energy_ev_per_atom=-4.718 magnetic_moment_mub_per_cell=0.000 raw_formation_energy_ev_per_atom=-1.300 pbc="T T T"
K 5.366 4.252 1.800
K 2.214 1.893 2.849
Tb 5.803 -0.097 1.385
Sn 2.652 -2.457 2.434
S 8.484 0.136 2.058
S 2.184 -0.797 4.609
S 5.332 -2.225 3.107
S 5.337 1.563 3.561

No. 5
12
Lattice="-6.229 -2.106 -2.551 4.128 -4.568 3.440 -2.527 4.083 6.047" Properties=species:S:1:pos:R:3 comment="K3Tb2SnS6 (PBE, relaxed)" final_energy_ev_per_atom=-4.931 magnetic_moment_mub_per_cell=0.000 raw_formation_energy_ev_per_atom=-1.487 pbc="T T T"
K 1.150 -2.119 5.471
K -5.777 -0.472 1.464
K -2.314 -1.295 3.468
Tb 0.677 -3.747 1.443
Tb -2.777 -2.926 -0.555
Sn 0.000 0.000 0.000
S -5.350 -1.445 4.510
S -2.052 -4.077 1.871
S 0.722 -1.145 2.426
S -1.902 -2.265 6.504
S -2.576 1.487 5.064
S -2.725 -0.326 0.432

No. 6
7
Lattice="-3.865 0.447 -4.309 -4.279 -6.383 -0.734 -6.903 0.944 2.378" Properties=species:S:1:pos:R:3 comment="K2Sn2TeS2 (PBE, relaxed)" final_energy_ev_per_atom=-3.713 magnetic_moment_mub_per_cell=0.000 raw_formation_energy_ev_per_atom=-0.628 pbc="T T T"
K -7.847 -0.070 -0.791
K -7.200 -4.923 -1.874
Sn -9.581 -3.255 0.435
Sn -5.466 -1.738 -3.099
Te 0.000 0.000 0.000
S -3.472 -2.037 -1.008
S -11.575 -2.956 -1.657

No. 7
8
Lattice="4.234 0.000 0.000 0.000 7.675 -0.298 0.000 2.561 6.929" Properties=species:S:1:pos:R:3 comment="K2ThSnS4 (PBE, relaxed)" final_energy_ev_per_atom=-5.153 magnetic_moment_mub_per_cell=0.000 raw_formation_energy_ev_per_atom=-1.388 pbc="T T T"
K 0.000 2.561 6.929
K 2.117 1.281 3.464
Th 0.000 5.118 3.316
Sn 2.117 3.838 -0.149
S 0.000 7.334 4.960
S 4.234 2.902 1.672
S 2.117 6.122 1.712
S 2.117 4.114 4.920

No. 8
18
Lattice="3.742 0.000 0.000 -1.871 9.390 0.000 0.000 0.000 13.772" Properties=species:S:1:pos:R:3 comment="K2TiSnS5 (PBE, relaxed)" final_energy_ev_per_atom=-4.865 magnetic_moment_mub_per_cell=0.000 raw_formation_energy_ev_per_atom=-1.006 pbc="T T T"
K 1.871 6.846 11.087
K 0.000 2.146 9.282
K 0.000 2.544 4.201
K 1.871 7.244 2.396
Ti 1.871 5.149 7.312
Ti 0.000 4.241 0.425
Sn 1.871 1.162 12.874
Sn 0.000 8.228 5.988
S 0.000 6.354 13.713
S 1.871 3.588 12.482
S 1.871 0.049 10.835
S 0.000 5.360 8.830
S 1.871 8.489 7.567
S 1.871 3.036 6.827
S 0.000 5.802 5.596
S 0.000 9.341 3.949
S 1.871 4.029 1.944
S 0.000 0.901 0.681